Here is an optimized crystal structure of MnAsAuO2 from the Alexandria database. Energies are from PBE with a Hubbard U.

Results
The space group is P4/mmm. Its uncorrected energy is -5.30 eV per atom. The value obtained for the total magnetic moment is 1.02 μB/atom.

Lattice parameters (Å, degrees): 3.8870 3.8870 5.1650 90.00 90.00 90.00
Sites, in units of the cell vectors:
Mn: 0.0000 0.0000 0.0000
As: 0.5000 0.5000 0.5000
Au: 0.5000 0.5000 0.0000
O: 0.0000 0.5000 0.5000
O: 0.5000 0.0000 0.5000